Record 1
# Cu3S2F2 (PBE, relaxed)
# raw formation energy	-4.89	eV per formula unit
# volume	16.24	Å³/atom
# magnetic moment	0.01	Bohr magnetons per cell
# mass density	4.3	g/cm3
data_Cu3S2F2
_chemical_formula_sum 'Cu6 S4 F4'
_symmetry_space_group_name_H-M 'P 1'
_symmetry_Int_Tables_number 1
_symmetry_space_group_name_Hall 'P 1'
_cell_length_a 5.703
_cell_length_b 7.477
_cell_length_c 6.138
_cell_angle_alpha 90.00
_cell_angle_beta 119.68
_cell_angle_gamma 90.00
loop_
_atom_site_label
_atom_site_type_symbol
_atom_site_fract_x
_atom_site_fract_y
_atom_site_fract_z
_atom_site_occupancy
Cu1 Cu 0.000 0.000 0.000 1
Cu2 Cu 0.000 0.500 0.500 1
Cu3 Cu 0.339 0.075 0.699 1
Cu4 Cu 0.339 0.425 0.199 1
Cu5 Cu 0.661 0.575 0.801 1
Cu6 Cu 0.661 0.925 0.301 1
S1 S 0.378 0.149 0.071 1
S2 S 0.378 0.351 0.571 1
S3 S 0.622 0.649 0.429 1
S4 S 0.622 0.851 0.929 1
F1 F 0.143 0.535 0.864 1
F2 F 0.143 0.965 0.364 1
F3 F 0.857 0.035 0.636 1
F4 F 0.857 0.465 0.136 1

***

Record 2
# Cu2SF (PBE, relaxed)
# raw formation energy	-2.40	eV per formula unit
# offset from the most stable computed form	5.0	kJ/mol of atoms
# volume	16.19	Å³/atom
# magnetic moment	0.00	Bohr magnetons per cell
# mass density	4.6	g/cm3
data_Cu2SF
_chemical_formula_sum 'Cu4 S2 F2'
_symmetry_space_group_name_H-M 'P 1'
_symmetry_Int_Tables_number 1
_symmetry_space_group_name_Hall 'P 1'
_cell_length_a 6.319
_cell_length_b 6.319
_cell_length_c 6.319
_cell_angle_alpha 133.74
_cell_angle_beta 133.74
_cell_angle_gamma 67.49
loop_
_atom_site_label
_atom_site_type_symbol
_atom_site_fract_x
_atom_site_fract_y
_atom_site_fract_z
_atom_site_occupancy
Cu1 Cu 0.123 0.625 0.998 1
Cu2 Cu 0.375 0.373 0.498 1
Cu3 Cu 0.627 0.125 0.002 1
Cu4 Cu 0.875 0.877 0.502 1
S1 S 0.000 0.000 0.000 1
S2 S 0.750 0.250 0.500 1
F1 F 0.250 0.750 0.500 1
F2 F 0.500 0.500 0.000 1

***

Record 3
# CuS2F (PBE, relaxed)
# raw formation energy	-0.55	eV per formula unit
# offset from the most stable computed form	47.3	kJ/mol of atoms
# volume	15.57	Å³/atom
# magnetic moment	0.00	Bohr magnetons per cell
# mass density	3.9	g/cm3
data_CuS2F
_chemical_formula_sum 'Cu2 S4 F2'
_symmetry_space_group_name_H-M 'P 1'
_symmetry_Int_Tables_number 1
_symmetry_space_group_name_Hall 'P 1'
_cell_length_a 9.146
_cell_length_b 9.146
_cell_length_c 9.146
_cell_angle_alpha 156.19
_cell_angle_beta 156.19
_cell_angle_gamma 33.93
loop_
_atom_site_label
_atom_site_type_symbol
_atom_site_fract_x
_atom_site_fract_y
_atom_site_fract_z
_atom_site_occupancy
Cu1 Cu 0.000 0.000 0.000 1
Cu2 Cu 0.750 0.250 0.500 1
S1 S 0.012 0.625 0.887 1
S2 S 0.375 0.262 0.387 1
S3 S 0.738 0.125 0.113 1
S4 S 0.875 0.988 0.613 1
F1 F 0.250 0.750 0.500 1
F2 F 0.500 0.500 0.000 1

***

Record 4
# Cu2SF (PBE, relaxed)
# raw formation energy	-1.41	eV per formula unit
# offset from the most stable computed form	28.8	kJ/mol of atoms
# volume	12.10	Å³/atom
# magnetic moment	0.00	Bohr magnetons per cell
# mass density	6.1	g/cm3
data_Cu2SF
_chemical_formula_sum 'Cu2 S1 F1'
_symmetry_space_group_name_H-M 'P 1'
_symmetry_Int_Tables_number 1
_symmetry_space_group_name_Hall 'P 1'
_cell_length_a 4.090
_cell_length_b 4.090
_cell_length_c 4.090
_cell_angle_alpha 60.00
_cell_angle_beta 60.00
_cell_angle_gamma 60.00
loop_
_atom_site_label
_atom_site_type_symbol
_atom_site_fract_x
_atom_site_fract_y
_atom_site_fract_z
_atom_site_occupancy
Cu1 Cu 0.250 0.250 0.250 1
Cu2 Cu 0.750 0.750 0.750 1
S1 S 0.000 0.000 0.000 1
F1 F 0.500 0.500 0.500 1

***

Record 5
# CuS3F (PBE, relaxed)
# raw formation energy	3.37	eV per formula unit
# offset from the most stable computed form	99.1	kJ/mol of atoms
# volume	17.42	Å³/atom
# magnetic moment	0.00	Bohr magnetons per cell
# mass density	3.4	g/cm3
data_CuS3F
_chemical_formula_sum 'Cu1 S3 F1'
_symmetry_space_group_name_H-M 'P 1'
_symmetry_Int_Tables_number 1
_symmetry_space_group_name_Hall 'P 1'
_cell_length_a 4.432
_cell_length_b 4.432
_cell_length_c 4.432
_cell_angle_alpha 90.00
_cell_angle_beta 90.00
_cell_angle_gamma 90.00
loop_
_atom_site_label
_atom_site_type_symbol
_atom_site_fract_x
_atom_site_fract_y
_atom_site_fract_z
_atom_site_occupancy
Cu1 Cu 0.000 0.000 0.000 1
S1 S 0.000 0.000 0.500 1
S2 S 0.000 0.500 0.000 1
S3 S 0.500 0.000 0.000 1
F1 F 0.500 0.500 0.500 1

***

Record 6
# Cu2SF (PBE, relaxed)
# raw formation energy	-2.38	eV per formula unit
# offset from the most stable computed form	5.5	kJ/mol of atoms
# volume	16.29	Å³/atom
# magnetic moment	0.00	Bohr magnetons per cell
# mass density	4.5	g/cm3
data_Cu2SF
_chemical_formula_sum 'Cu2 S1 F1'
_symmetry_space_group_name_H-M 'P 1'
_symmetry_Int_Tables_number 1
_symmetry_space_group_name_Hall 'P 1'
_cell_length_a 3.554
_cell_length_b 3.554
_cell_length_c 5.959
_cell_angle_alpha 90.00
_cell_angle_beta 90.00
_cell_angle_gamma 120.00
loop_
_atom_site_label
_atom_site_type_symbol
_atom_site_fract_x
_atom_site_fract_y
_atom_site_fract_z
_atom_site_occupancy
Cu1 Cu 0.000 0.000 0.000 1
Cu2 Cu 0.333 0.667 0.487 1
S1 S 0.333 0.667 0.129 1
F1 F 0.000 0.000 0.638 1